The following is a PBE calculation of a geometry-optimized NdY3Co structure, from Alexandria via LeMat-Bulk.

a = 6.243 Å, b = 7.978 Å, c = 6.246 Å
α = 90.00°, β = 106.87°, γ = 90.00°
Atoms (fractional coordinates):
1 Nd 0.228 0.250 0.271
2 Nd 0.772 0.750 0.729
3 Y 0.239 0.750 0.262
4 Y 0.262 0.000 0.762
5 Y 0.262 0.500 0.762
6 Y 0.738 0.000 0.238
7 Y 0.738 0.500 0.238
8 Y 0.761 0.250 0.738
9 Co 0.498 0.250 0.003
10 Co 0.502 0.750 0.997

Total DFT energy (no corrections) = -6.30 eV/atom

The following is a PBE calculation of a geometry-optimized NdY2Co structure, from Alexandria via LeMat-Bulk.

a = 9.362 Å, b = 9.362 Å, c = 9.362 Å
α = 23.49°, β = 23.49°, γ = 23.49°
Atoms (fractional coordinates):
1 Nd 0.000 0.000 0.000
2 Y 0.554 0.554 0.554
3 Y 0.776 0.776 0.776
4 Co 0.165 0.165 0.165

Total DFT energy (no corrections) = -6.20 eV/atom

The following is a PBE calculation of a geometry-optimized NdY2Co2 structure, from Alexandria via LeMat-Bulk.

a = 7.591 Å, b = 7.591 Å, c = 4.082 Å
α = 90.00°, β = 90.00°, γ = 150.00°
Atoms (fractional coordinates):
1 Nd 0.000 0.000 0.000
2 Y 0.349 0.651 0.500
3 Y 0.651 0.349 0.500
4 Co 0.211 0.789 0.000
5 Co 0.789 0.211 0.000

Total DFT energy (no corrections) = -6.49 eV/atom

The following is a PBE calculation of a geometry-optimized NdYCo4 structure, from Alexandria via LeMat-Bulk.

a = 3.870 Å, b = 4.141 Å, c = 6.712 Å
α = 90.00°, β = 90.00°, γ = 90.00°
Atoms (fractional coordinates):
1 Nd 0.000 0.000 0.000
2 Y 0.500 0.000 0.500
3 Co 0.000 0.500 0.335
4 Co 0.000 0.500 0.665
5 Co 0.500 0.500 0.169
6 Co 0.500 0.500 0.831

Total DFT energy (no corrections) = -6.73 eV/atom

Number 1: energy of formation -0.051 eV per atom, E above lowest polymorph 0.0 meV per atom, size of the total moment 0.000 μB per atom. Number 2: energy of formation 0.000 eV per atom, E above lowest polymorph 122.5 meV per atom, size of the total moment 0.000 μB per atom. Number 3: energy of formation -0.111 eV per atom, E above lowest polymorph 0.0 meV per atom, size of the total moment 0.180 μB per atom. Number 4: energy of formation -0.120 eV per atom, E above lowest polymorph 0.0 meV per atom, size of the total moment 0.481 μB per atom.